Entry 1:
{"formula": "PmDy3P4", "functional": "GGA-PBE", "state": "relaxed", "delta_e_f_ev_per_fu": -12.78, "lattice": [[4.040, -0.051, 0.068], [0.051, 6.714, 1.959], [-0.113, 0.389, 6.982]], "species": ["Dy", "Dy", "Dy", "P", "P", "P", "P", "Pm"], "frac_coords": [[0.000, 0.500, 0.500], [0.000, 0.000, 0.000], [0.500, 0.000, 0.500], [0.500, 0.248, 0.747], [0.500, 0.753, 0.253], [0.000, 0.755, 0.745], [0.000, 0.245, 0.255], [0.500, 0.500, 0.000]]}

***

Entry 2:
{"formula": "YTl", "functional": "GGA-PBE", "state": "relaxed", "delta_e_f_ev_per_fu": -0.28, "lattice": [[3.676, 0.000, 0.000], [0.000, 3.676, 0.000], [0.000, 0.000, 8.690]], "species": ["Tl", "Tl", "Y", "Y"], "frac_coords": [[0.750, 0.750, 0.885], [0.250, 0.250, 0.115], [0.750, 0.750, 0.359], [0.250, 0.250, 0.641]]}

***

Entry 3:
{"formula": "DyTm3Fe", "functional": "GGA-PBE", "state": "relaxed", "polymorph_energy_ev_per_atom": 0.000, "delta_e_f_ev_per_fu": 0.04, "lattice": [[3.573, 0.000, 0.000], [0.000, 7.783, -4.651], [0.000, -1.107, 10.281]], "species": ["Tm", "Tm", "Tm", "Tm", "Tm", "Tm", "Dy", "Dy", "Fe", "Fe"], "frac_coords": [[0.250, 0.613, 0.288], [0.750, 0.962, 0.335], [0.750, 0.208, 0.011], [0.750, 0.387, 0.712], [0.250, 0.792, 0.989], [0.250, 0.038, 0.665], [0.250, 0.299, 0.362], [0.750, 0.701, 0.638], [0.250, 0.408, 0.942], [0.750, 0.592, 0.058]]}

***

Entry 4:
{"formula": "AsPbI", "functional": "GGA-PBE", "state": "relaxed", "polymorph_energy_ev_per_atom": 0.069, "lattice": [[4.118, -0.010, -0.006], [1.981, 6.130, -0.006], [0.518, 2.543, 8.588]], "species": ["I", "I", "As", "As", "Pb", "Pb"], "frac_coords": [[0.043, 0.536, 0.627], [0.748, 0.206, 0.310], [0.035, 0.677, 0.070], [0.453, 0.910, 0.936], [0.536, 0.372, 0.917], [0.431, 0.808, 0.294]]}

***

Entry 5:
{"formula": "BeNi", "functional": "GGA-PBE", "state": "relaxed", "delta_e_f_ev_per_fu": -0.45, "lattice": [[3.864, -0.001, -0.001], [3.083, 2.328, -0.001], [3.083, 1.033, 2.087]], "species": ["Be", "Ni"], "frac_coords": [[0.000, 0.000, 0.000], [0.500, 0.500, 0.500]]}

***

Entry 6:
{"formula": "TlBr3N", "functional": "GGA-PBE", "state": "relaxed", "polymorph_energy_ev_per_atom": 0.000, "lattice": [[-1.052, 4.352, 2.012], [1.776, -1.560, 4.302], [4.454, 1.650, -1.240]], "species": ["Tl", "Br", "Br", "Br", "N"], "frac_coords": [[0.500, 0.500, 0.500], [0.000, 0.500, 0.000], [0.500, 0.000, 0.000], [0.000, 0.000, 0.500], [0.000, 0.000, 0.000]]}

***

Q: Which raw total energy values were calculated for the entries above? A: -6.622; -4.557; -5.288; -3.492; -4.980; -2.616, in eV per atom.